VASP calculation (PBE-GGA) on an optimized crystal structure of Cr2PtN.

a b c (Å): 6.4792 6.4792 6.4792
angles (deg): 25.82 25.82 25.82
Last column: nearest neighbours and their distance in Å.
Positions (direct):
Cr: 0.2181 0.2181 0.2181  3 N 1.93
Cr: 0.7819 0.7819 0.7819  3 N 1.93
Pt: 0.0000 0.0000 0.0000  6 Cr 2.73, 6 Pt 2.90
N: 0.5000 0.5000 0.5000  6 Cr 1.93

The density of states at the Fermi level is 1.210 states/eV/atom. As for the symmetry: R-3m, No. 166. The energy relative to the elements, uncorrected is -309 meV/atom. The value obtained for the density is 11.44 Mg/m³.



VASP calculation (PBE-GGA) on an optimized crystal structure of RbYPb.

a b c (Å): 4.3622 4.5802 14.2928
angles (deg): 80.89 81.31 89.99
Last column: nearest neighbours and their distance in Å.
Positions (direct):
Rb: 0.0000 0.0000 0.0000  2 Pb 4.02-4.04, 2 Y 4.19-4.21, 2 Rb 4.36
Rb: 0.3551 0.3550 0.2957  1 Pb 3.66
Y: 0.1212 0.6282 0.7478  6 Pb 3.16-3.50, 2 Y 3.52
Y: 0.7189 0.7263 0.5501  4 Pb 3.16-3.17, 2 Y 3.52
Pb: 0.2148 0.2223 0.5580  6 Y 3.16-3.50, 2 Pb 3.53
Pb: 0.6166 0.1236 0.7573  4 Y 3.16-3.17, 2 Pb 3.53

The density of states at the Fermi level is 0.691 states/eV/atom. The calculated formation energy is -0.62 eV/f.u. As for the symmetry: P1, No. 1. The value obtained for the excess energy over the best structure of this formula in the dataset is 81 meV per atom. The value obtained for the density is 4.55 Mg/m³.



VASP calculation (PBE-GGA) on an optimized crystal structure of NdScGe2Pt5.

a b c (Å): 4.2463 4.2463 9.1327
angles (deg): 90.00 90.00 90.00
Last column: nearest neighbours and their distance in Å.
Positions (direct):
Nd: 0.0000 0.0000 0.0000  12 Pt 3.00-3.02
Sc: 0.0000 0.0000 0.5000  8 Pt 3.22, 8 Ge 3.23
Ge: 0.5000 0.5000 0.3701  1 Ge 2.37, 4 Pt 2.46
Ge: 0.5000 0.5000 0.6299  1 Ge 2.37, 4 Pt 2.46
Pt: 0.0000 0.5000 0.2349  2 Ge 2.46
Pt: 0.0000 0.5000 0.7651  2 Ge 2.46
Pt: 0.5000 0.0000 0.2349  2 Ge 2.46
Pt: 0.5000 0.0000 0.7651  2 Ge 2.46
Pt: 0.5000 0.5000 0.0000  4 Nd 3.00, 8 Pt 3.02

The density of states at the Fermi level is 0.441 states/eV/atom. The calculated formation energy is -7.06 eV/f.u. As for the symmetry: P4/mmm, No. 123. The value obtained for the density is 13.21 Mg/m³.



VASP calculation (PBE-GGA) on an optimized crystal structure of NaSr3Li4.

a b c (Å): 4.1707 4.1707 16.4821
angles (deg): 90.00 90.00 90.00
Last column: nearest neighbours and their distance in Å.
Positions (direct):
Na: 0.0000 0.0000 0.0000  8 Li 3.39
Sr: 0.0000 0.0000 0.2400  8 Li 3.64-3.73, 1 Na 3.96
Sr: 0.0000 0.0000 0.5000  8 Li 3.65
Sr: 0.0000 0.0000 0.7600  8 Li 3.64-3.73, 1 Na 3.96
Li: 0.5000 0.5000 0.1017  1 Li 3.35, 4 Na 3.39, 4 Sr 3.73
Li: 0.5000 0.5000 0.3692  8 Sr 3.64-3.65
Li: 0.5000 0.5000 0.6308  8 Sr 3.64-3.65
Li: 0.5000 0.5000 0.8983  1 Li 3.35, 4 Na 3.39, 4 Sr 3.73

The density of states at the Fermi level is 0.983 states/eV/atom. The calculated formation energy is 0.37 eV/f.u. As for the symmetry: P4/mmm, No. 123. The value obtained for the density is 1.82 Mg/m³.



VASP calculation (PBE-GGA) on an optimized crystal structure of Nd3Ga7Pt2.

a b c (Å): 4.3368 4.3375 13.5332
angles (deg): 90.00 99.17 90.00
Last column: nearest neighbours and their distance in Å.
Positions (direct):
Nd: 0.0000 0.0000 0.0000  12 Ga 3.07-3.10
Nd: 0.3181 0.5000 0.6390  10 Ga 3.28-3.40, 4 Pt 3.33-3.34
Nd: 0.6819 0.5000 0.3610  10 Ga 3.28-3.40, 4 Pt 3.33-3.34
Ga: 0.0840 0.5000 0.1656  2 Pt 2.53
Ga: 0.2247 0.0000 0.4496  1 Pt 2.49, 2 Ga 2.55-2.56
Ga: 0.4181 0.0000 0.8349  2 Pt 2.53
Ga: 0.5000 0.5000 0.0000  4 Nd 3.07, 8 Ga 3.09-3.10
Ga: 0.5819 0.0000 0.1651  2 Pt 2.53
Ga: 0.7753 0.0000 0.5504  1 Pt 2.49, 2 Ga 2.55-2.56
Ga: 0.9160 0.5000 0.8344  2 Pt 2.53
Pt: 0.1308 0.0000 0.2632  5 Ga 2.49-2.53
Pt: 0.8692 0.0000 0.7368  5 Ga 2.49-2.53

The density of states at the Fermi level is 0.552 states/eV/atom. The calculated formation energy is -9.29 eV/f.u. As for the symmetry: P2/m, No. 10. The value obtained for the density is 8.66 Mg/m³.



VASP calculation (PBE-GGA) on an optimized crystal structure of Na2TlB.

a b c (Å): 10.7472 10.7472 10.7472
angles (deg): 157.81 157.81 31.58
Last column: nearest neighbours and their distance in Å.
Positions (direct):
Na: 0.0944 0.6250 0.9694  2 Na 2.75, 2 B 2.93, 2 Tl 3.02
Na: 0.3750 0.3444 0.4694  2 Na 2.75, 2 B 2.93, 2 Tl 3.02
Na: 0.6556 0.1250 0.0306  2 Na 2.75, 2 B 2.93, 2 Tl 3.02
Na: 0.8750 0.9056 0.5306  2 Na 2.75, 2 B 2.93, 2 Tl 3.02
Tl: 0.2500 0.7500 0.5000  4 B 2.92, 4 Na 3.02
Tl: 0.5000 0.5000 0.0000  4 B 2.92, 4 Na 3.02
B: 0.0000 0.0000 0.0000  4 Tl 2.92, 4 Na 2.93
B: 0.7500 0.2500 0.5000  4 Tl 2.92, 4 Na 2.93

The density of states at the Fermi level is 0.521 states/eV/atom. The calculated formation energy is 3.61 eV/f.u. As for the symmetry: I-42d, No. 122. The value obtained for the excess energy over the best structure of this formula in the dataset is 71 meV per atom. The value obtained for the density is 4.90 Mg/m³.



VASP calculation (PBE-GGA) on an optimized crystal structure of Hg4PbAu.

a b c (Å): 5.9970 5.9970 5.9970
angles (deg): 60.00 60.00 60.00
Last column: nearest neighbours and their distance in Å.
Positions (direct):
Hg: 0.1253 0.1253 0.1253  6 Hg 2.99-3.01
Hg: 0.1253 0.1253 0.6241  6 Hg 2.99-3.01
Hg: 0.1253 0.6241 0.1253  6 Hg 2.99-3.01
Hg: 0.6241 0.1253 0.1253  6 Hg 2.99-3.01
Pb: 0.7500 0.7500 0.7500  12 Hg 3.52, 4 Au 3.67
Au: 0.5000 0.5000 0.5000  12 Hg 3.52, 4 Pb 3.67

The density of states at the Fermi level is 0.515 states/eV/atom. The calculated formation energy is 1.25 eV/f.u. As for the symmetry: F-43m, No. 216. The value obtained for the density is 13.14 Mg/m³.



VASP calculation (PBE-GGA) on an optimized crystal structure of ThNiTe.

a b c (Å): 4.2403 4.2403 4.5019
angles (deg): 90.00 90.00 120.00
Last column: nearest neighbours and their distance in Å.
Positions (direct):
Th: 0.0000 0.0000 0.0000  3 Ni 2.83
Ni: 0.3333 0.6667 0.6828  3 Te 2.60, 3 Th 2.83
Te: 0.6667 0.3333 0.4915  3 Ni 2.60

The density of states at the Fermi level is 0.056 states/eV/atom. As for the symmetry: P3m1, No. 156. The energy relative to the elements, uncorrected is -816 meV/atom. The value obtained for the excess energy over the best structure of this formula in the dataset is 0 meV per atom. The value obtained for the density is 9.91 Mg/m³.



VASP calculation (PBE-GGA) on an optimized crystal structure of NaDySb.

a b c (Å): 4.1090 4.4838 5.6842
angles (deg): 90.00 90.00 90.00
Last column: nearest neighbours and their distance in Å.
Positions (direct):
Na: 0.0000 0.0000 0.0000  4 Sb 3.51, 4 Dy 3.62
Dy: 0.0000 0.5000 0.5000  4 Sb 3.04
Sb: 0.5000 0.0000 0.5000  4 Dy 3.04

The density of states at the Fermi level is 0.510 states/eV/atom. As for the symmetry: Pmmm, No. 47. The energy relative to the elements, uncorrected is -417 meV/atom. The value obtained for the density is 4.87 Mg/m³.



VASP calculation (PBE-GGA) on an optimized crystal structure of PmDyRuAu.

a b c (Å): 5.0169 5.0169 5.0169
angles (deg): 60.00 60.00 60.00
Last column: nearest neighbours and their distance in Å.
Positions (direct):
Pm: 0.0000 0.0000 0.0000  4 Ru 3.07, 4 Au 3.07
Dy: 0.5000 0.5000 0.5000  4 Ru 3.07, 4 Au 3.07
Ru: 0.7500 0.7500 0.7500  4 Dy 3.07, 4 Pm 3.07
Au: 0.2500 0.2500 0.2500  4 Dy 3.07, 4 Pm 3.07

The density of states at the Fermi level is 0.756 states/eV/atom. The calculated formation energy is -2.03 eV/f.u. As for the symmetry: F-43m, No. 216. The value obtained for the density is 11.26 Mg/m³.